A relaxed structure of TaCu3P, computed with PBE.

Results
Polymorph energy (0 for the lowest one): 5.614 eV/f.u.
Crystal system: cubic
ΔE_f: 1790 meV per atom

Unit cell a=4.749 b=4.749 c=4.749 alpha=90.00 beta=90.00 gamma=90.00
Fractional positions:
Ta1 0.000 0.000 0.000
Cu1 0.000 0.000 0.500
Cu2 0.000 0.500 0.000
Cu3 0.500 0.000 0.000
P1 0.500 0.500 0.500

A relaxed structure of KLiSe2, computed with PBE.

Results
Crystal system: trigonal

Unit cell a=3.412 b=3.412 c=35.761 alpha=90.00 beta=90.00 gamma=120.00
Fractional positions:
K1 0.000 0.000 0.000
K2 0.333 0.667 0.667
K3 0.667 0.333 0.333
Li1 0.000 0.000 0.227
Li2 0.333 0.667 0.894
Li3 0.667 0.333 0.560
Se1 0.000 0.000 0.517
Se2 0.000 0.000 0.735
Se3 0.333 0.667 0.184
Se4 0.333 0.667 0.402
Se5 0.667 0.333 0.068
Se6 0.667 0.333 0.851

A relaxed structure of Pm2SbTe, computed with PBE.

Results
Polymorph energy (0 for the lowest one): 0.273 eV/f.u.
Crystal system: orthorhombic

Unit cell a=4.473 b=7.606 c=7.734 alpha=90.00 beta=90.00 gamma=90.00
Fractional positions:
Pm1 0.250 0.001 0.241
Pm2 0.250 0.499 0.241
Pm3 0.750 0.501 0.759
Pm4 0.750 0.999 0.759
Sb1 0.250 0.750 0.914
Sb2 0.750 0.250 0.086
Te1 0.250 0.250 0.582
Te2 0.750 0.750 0.418

| no. | raw total energy (eV/atom) |
| --- | --- |
| 1 | -4.120 |
| 2 | -2.497 |
| 3 | -5.466 |